No. 1
First-principles (PBEsol) data for a geometry-optimized TaReSiAs2 structure, as listed in Alexandria.

Properties
**Formation energy from raw total energies**: 1.544 eV/atom

abc: 4.870 4.870 4.820
angles: 90.00 90.00 90.00
Space group P4/mmm (No. 123)
Unique sites:
Ta: 0.000 0.000 0.000 (multiplicity 1)
Re: 0.500 0.500 0.500 (multiplicity 1)
Si: 0.000 0.000 0.500 (multiplicity 1)
As: 0.000 0.500 0.000 (multiplicity 2)

---

No. 2
First-principles (PBEsol) data for a geometry-optimized ReTcSnAs2 structure, as listed in Alexandria.

Properties
**ΔH_f (0 K)**: 6.932 eV per formula unit

abc: 4.605 4.605 5.246
angles: 90.00 90.00 90.00
Space group P4/mmm (No. 123)
Unique sites:
Re: 0.000 0.000 0.000 (multiplicity 1)
Tc: 0.500 0.500 0.500 (multiplicity 1)
Sn: 0.500 0.500 0.000 (multiplicity 1)
As: 0.000 0.500 0.500 (multiplicity 2)